Computed, not measured: an optimized crystal structure of CeTlV2O8 at the PBE+U level of DFT.

Cell lengths 5.930, 5.930, 7.910 Å; angles 90.00, 90.00, 120.00 degrees
Fractional coordinates of all 12 atoms:
Ce: 0.000 0.000 0.000
Tl: 0.000 0.000 0.500
V: 0.333 0.667 0.248
V: 0.667 0.333 0.752
O: 0.170 0.343 0.175
O: 0.172 0.830 0.175
O: 0.333 0.667 0.461
O: 0.343 0.172 0.825
O: 0.657 0.828 0.175
O: 0.667 0.333 0.539
O: 0.828 0.170 0.825
O: 0.830 0.657 0.825

Output
Electronic total energy = -86.373 eV per cell
Space-group type = P-3
Crystal system = trigonal
Magnetization = 0.090 μB per atom
ρ = 4.0 g/cm³